Below is a relaxed ZrNp crystal, with properties calculated at the GGA-PBE level.

Cell: 5.8454 4.9485 7.9505 Å, 90.00 111.51 90.00°
With the nearest neighbours (Å) after each atom.
Sites, in units of the cell vectors:
Zr: 0.0000 0.0000 0.0000  2 Np 2.77, 2 Zr 3.02
Zr: 0.0229 0.5000 0.6100  1 Np 2.89, 4 Zr 2.95-3.19
Zr: 0.1469 0.0000 0.4057  7 Zr 2.95-3.24, 2 Np 3.14-3.18
Zr: 0.4137 0.5000 0.3917  1 Np 2.89, 4 Zr 2.95-3.18
Zr: 0.7411 0.0000 0.5946  7 Zr 2.95-3.24, 2 Np 3.14-3.18
Np: 0.2138 0.5000 0.0010  4 Zr 2.77-2.89, 2 Np 3.05-3.06
Np: 0.4172 0.0000 0.8336  3 Np 2.47-2.72
Np: 0.5838 0.0000 0.1670  3 Np 2.47-2.72
Np: 0.6104 0.5000 0.8361  3 Np 2.44-2.72
Np: 0.7758 0.5000 0.1657  3 Np 2.44-2.72

***

Below is a relaxed ZrNp crystal, with properties calculated at the GGA-PBE level.

Cell: 6.1251 4.7385 8.9391 Å, 90.00 101.85 90.00°
With the nearest neighbours (Å) after each atom.
Sites, in units of the cell vectors:
Zr: 0.0787 0.2500 0.3980  1 Np 2.88, 5 Zr 3.05-3.07
Zr: 0.2076 0.2500 0.7463  5 Zr 3.05-3.17, 6 Np 3.11-3.16
Zr: 0.4163 0.7500 0.5861  8 Zr 3.06-3.36, 1 Np 3.16
Zr: 0.5837 0.2500 0.4139  8 Zr 3.06-3.36, 1 Np 3.16
Zr: 0.7924 0.7500 0.2537  5 Zr 3.05-3.17, 6 Np 3.11-3.16
Zr: 0.9213 0.7500 0.6020  1 Np 2.88, 5 Zr 3.05-3.07
Np: 0.1520 0.2500 0.0903  3 Np 2.51-2.55
Np: 0.2673 0.7500 0.1786  3 Np 2.55-2.58
Np: 0.4506 0.7500 0.9438  4 Np 2.51-2.60
Np: 0.5494 0.2500 0.0562  4 Np 2.51-2.60
Np: 0.7327 0.2500 0.8214  3 Np 2.55-2.58
Np: 0.8480 0.7500 0.9097  3 Np 2.51-2.55

***

Below is a relaxed ZrNp crystal, with properties calculated at the GGA-PBE level.

Cell: 6.1051 4.7507 9.0023 Å, 90.00 103.95 90.00°
With the nearest neighbours (Å) after each atom.
Sites, in units of the cell vectors:
Zr: 0.0888 0.2500 0.3984  1 Np 2.90, 5 Zr 3.03-3.06
Zr: 0.1904 0.2500 0.7479  5 Zr 3.03-3.21, 6 Np 3.10-3.14
Zr: 0.4054 0.7500 0.5884  8 Zr 3.05-3.27, 1 Np 3.14
Zr: 0.5946 0.2500 0.4116  8 Zr 3.05-3.27, 1 Np 3.14
Zr: 0.8096 0.7500 0.2521  5 Zr 3.03-3.21, 6 Np 3.10-3.14
Zr: 0.9112 0.7500 0.6016  1 Np 2.90, 5 Zr 3.03-3.06
Np: 0.1577 0.2500 0.0910  3 Np 2.52-2.55
Np: 0.2791 0.7500 0.1771  3 Np 2.55
Np: 0.4445 0.7500 0.9428  4 Np 2.52-2.61
Np: 0.5555 0.2500 0.0572  4 Np 2.52-2.61
Np: 0.7209 0.2500 0.8229  3 Np 2.55
Np: 0.8423 0.7500 0.9090  3 Np 2.52-2.55

***

Below is a relaxed ZrNp crystal, with properties calculated at the GGA-PBE level.

Cell: 4.9589 4.0528 8.4341 Å, 90.00 90.00 90.00°
With the nearest neighbours (Å) after each atom.
Sites, in units of the cell vectors:
Zr: 0.0000 0.2500 0.1424  4 Zr 3.07-3.14, 8 Np 3.10-3.25
Zr: 0.0000 0.7500 0.8576  4 Zr 3.07-3.14, 8 Np 3.10-3.25
Zr: 0.5000 0.2500 0.3576  4 Zr 3.07-3.14, 8 Np 3.10-3.25
Zr: 0.5000 0.7500 0.6424  4 Zr 3.07-3.14, 8 Np 3.10-3.25
Np: 0.0005 0.2500 0.5793  2 Np 2.43
Np: 0.4995 0.7500 0.0793  2 Np 2.43
Np: 0.5005 0.2500 0.9207  2 Np 2.43
Np: 0.9995 0.7500 0.4207  2 Np 2.43

***

Below is a relaxed ZrNp crystal, with properties calculated at the GGA-PBE level.

Cell: 6.4782 4.8656 8.4854 Å, 90.00 102.99 90.00°
With the nearest neighbours (Å) after each atom.
Sites, in units of the cell vectors:
Zr: 0.0911 0.2500 0.4575  5 Zr 2.87-3.18, 1 Np 3.01
Zr: 0.3798 0.2500 0.8259  5 Np 3.02-3.34, 3 Zr 3.22-3.26
Zr: 0.4026 0.7500 0.5815  2 Np 2.83-3.16, 1 Zr 3.14
Zr: 0.5974 0.2500 0.4185  2 Np 2.83-3.16, 1 Zr 3.14
Zr: 0.6202 0.7500 0.1741  5 Np 3.02-3.34, 3 Zr 3.22-3.26
Zr: 0.9089 0.7500 0.5425  5 Zr 2.87-3.18, 1 Np 3.01
Np: 0.1453 0.7500 0.9199  2 Np 2.45-2.48
Np: 0.1683 0.7500 0.2123  3 Np 2.45-2.57
Np: 0.2482 0.2500 0.1499  3 Np 2.48-2.57
Np: 0.7518 0.7500 0.8501  3 Np 2.48-2.57
Np: 0.8317 0.2500 0.7877  3 Np 2.45-2.57
Np: 0.8547 0.2500 0.0801  2 Np 2.45-2.48

***

Below is a relaxed ZrNp crystal, with properties calculated at the GGA-PBE level.

Cell: 3.0464 5.3350 10.9075 Å, 90.00 90.00 90.00°
With the nearest neighbours (Å) after each atom.
Sites, in units of the cell vectors:
Zr: 0.2500 0.2500 0.0554  10 Zr 3.05-3.30, 2 Np 3.29
Zr: 0.2500 0.7500 0.2037  6 Zr 3.05-3.21, 6 Np 3.20-3.33
Zr: 0.7500 0.2500 0.7963  6 Zr 3.05-3.21, 6 Np 3.20-3.33
Zr: 0.7500 0.7500 0.9446  10 Zr 3.05-3.30, 2 Np 3.29
Np: 0.2500 0.2500 0.5386  6 Np 2.81-3.07
Np: 0.2500 0.7500 0.6775  6 Np 2.81-3.07
Np: 0.7500 0.2500 0.3225  6 Np 2.81-3.07
Np: 0.7500 0.7500 0.4614  6 Np 2.81-3.07

***

Below is a relaxed ZrNp crystal, with properties calculated at the GGA-PBE level.

Cell: 4.3480 15.8435 4.9464 Å, 90.00 90.00 90.00°
With the nearest neighbours (Å) after each atom.
Sites, in units of the cell vectors:
Zr: 0.2500 0.1293 0.2057  4 Zr 2.90-3.13, 5 Np 2.96-3.23
Zr: 0.2500 0.2500 0.7076  8 Zr 3.12-3.43, 4 Np 3.43
Zr: 0.2500 0.3707 0.2057  4 Zr 2.90-3.13, 5 Np 2.96-3.23
Zr: 0.2500 0.7500 0.7561  6 Zr 2.90-3.16
Zr: 0.7500 0.2500 0.2439  6 Zr 2.90-3.16
Zr: 0.7500 0.6293 0.7943  4 Zr 2.90-3.13, 5 Np 2.96-3.23
Zr: 0.7500 0.7500 0.2924  8 Zr 3.12-3.43, 4 Np 3.43
Zr: 0.7500 0.8707 0.7943  4 Zr 2.90-3.13, 5 Np 2.96-3.23
Np: 0.2500 0.0064 0.7543  3 Np 2.52-2.53
Np: 0.2500 0.4936 0.7543  3 Np 2.52-2.53
Np: 0.2500 0.5832 0.3338  3 Np 2.52-2.53
Np: 0.2500 0.9168 0.3338  3 Np 2.52-2.53
Np: 0.7500 0.0832 0.6662  3 Np 2.52-2.53
Np: 0.7500 0.4168 0.6662  3 Np 2.52-2.53
Np: 0.7500 0.5064 0.2457  3 Np 2.52-2.53
Np: 0.7500 0.9936 0.2457  3 Np 2.52-2.53

***

Below is a relaxed Zr3Np crystal, with properties calculated at the GGA-PBE level.

Cell: 5.3077 6.3841 5.5264 Å, 90.00 90.00 90.00°
With the nearest neighbours (Å) after each atom.
Sites, in units of the cell vectors:
Zr: 0.2500 0.0063 0.1566  8 Zr 3.11-3.27, 4 Np 3.15-3.29
Zr: 0.2500 0.4937 0.1566  8 Zr 3.11-3.27, 4 Np 3.15-3.29
Zr: 0.2500 0.7500 0.6604  4 Np 3.17-3.19, 8 Zr 3.19-3.24
Zr: 0.7500 0.2500 0.3396  4 Np 3.17-3.19, 8 Zr 3.19-3.24
Zr: 0.7500 0.5063 0.8434  8 Zr 3.11-3.27, 4 Np 3.15-3.29
Zr: 0.7500 0.9937 0.8434  8 Zr 3.11-3.27, 4 Np 3.15-3.29
Np: 0.2500 0.2500 0.6526  12 Zr 3.15-3.29
Np: 0.7500 0.7500 0.3474  12 Zr 3.15-3.29

***

Below is a relaxed ZrNp crystal, with properties calculated at the GGA-PBE level.

Cell: 6.3289 6.3289 5.3336 Å, 90.00 90.00 120.00°
With the nearest neighbours (Å) after each atom.
Sites, in units of the cell vectors:
Zr: 0.0000 0.0000 0.0000  6 Np 3.17, 6 Zr 3.23
Zr: 0.1662 0.3324 0.5000  6 Zr 3.16-3.23, 6 Np 3.16-3.26
Zr: 0.1662 0.8338 0.5000  6 Zr 3.16-3.23, 6 Np 3.16-3.26
Zr: 0.6676 0.8338 0.5000  6 Zr 3.16-3.23, 6 Np 3.16-3.26
Np: 0.5082 0.0164 0.0000  6 Np 3.01-3.32, 6 Zr 3.17-3.26
Np: 0.5082 0.4918 0.0000  6 Np 3.01-3.32, 6 Zr 3.17-3.26
Np: 0.6667 0.3333 0.5000  6 Zr 3.16, 6 Np 3.18
Np: 0.9836 0.4918 0.0000  6 Np 3.01-3.32, 6 Zr 3.17-3.26

***

Below is a relaxed ZrNp crystal, with properties calculated at the GGA-PBE level.

Cell: 5.2134 6.5053 10.1618 Å, 90.00 90.00 90.00°
With the nearest neighbours (Å) after each atom.
Sites, in units of the cell vectors:
Zr: 0.2500 0.0024 0.1085  6 Zr 3.02-3.28, 2 Np 3.20
Zr: 0.2500 0.4976 0.1085  6 Zr 3.02-3.28, 2 Np 3.20
Zr: 0.2500 0.7500 0.3623  10 Np 3.03-3.31, 2 Zr 3.06
Zr: 0.2500 0.7500 0.8589  4 Np 3.02-3.29, 6 Zr 3.02-3.08
Zr: 0.7500 0.2500 0.1411  4 Np 3.02-3.29, 6 Zr 3.02-3.08
Zr: 0.7500 0.2500 0.6377  10 Np 3.03-3.31, 2 Zr 3.06
Zr: 0.7500 0.5024 0.8915  6 Zr 3.02-3.28, 2 Np 3.20
Zr: 0.7500 0.9976 0.8915  6 Zr 3.02-3.28, 2 Np 3.20
Np: 0.2500 0.0070 0.6115  2 Np 2.48-2.55
Np: 0.2500 0.2500 0.4230  2 Np 2.48
Np: 0.2500 0.2500 0.8080  2 Np 2.55
Np: 0.2500 0.4930 0.6115  2 Np 2.48-2.55
Np: 0.7500 0.5070 0.3885  2 Np 2.48-2.55
Np: 0.7500 0.7500 0.1920  2 Np 2.55
Np: 0.7500 0.7500 0.5770  2 Np 2.48
Np: 0.7500 0.9930 0.3885  2 Np 2.48-2.55

***

Below is a relaxed ZrNp crystal, with properties calculated at the GGA-PBE level.

Cell: 3.0107 3.0107 5.6682 Å, 90.00 90.00 120.00°
With the nearest neighbours (Å) after each atom.
Sites, in units of the cell vectors:
Zr: 0.0000 0.0000 0.0000  6 Zr 3.01, 6 Np 3.32
Np: 0.3333 0.6667 0.5000  6 Np 3.01, 6 Zr 3.32

***

Below is a relaxed ZrNp crystal, with properties calculated at the GGA-PBE level.

Cell: 4.8871 2.9975 5.9499 Å, 90.00 90.00 90.00°
With the nearest neighbours (Å) after each atom.
Sites, in units of the cell vectors:
Zr: 0.2500 0.0000 0.1244  4 Zr 2.86-3.00, 2 Np 3.19
Zr: 0.7500 0.0000 0.8756  4 Zr 2.86-3.00, 2 Np 3.19
Np: 0.2500 0.5000 0.5986  4 Np 2.71-3.00
Np: 0.7500 0.5000 0.4014  4 Np 2.71-3.00

***

Formation energy from the elements readings, ordered: 246.0 99.8 100.8 193.8 153.0 241.5 124.1 205.1 322.8 205.1 271.1 271.8 meV per atom
Energy above the lowest structure with this stoichiometry readings, ordered: 28.2 0.0 0.2 18.2 10.3 27.4 4.7 0.0 43.0 20.3 33.0 33.2 kJ/mol of formula units